#A
Os5Rh4: optimized geometry, GGA-PBE.

Results
N(E_F): 27.44 states/eV/cell
spin magnetization: 0.000 μB per atom

```
Os5Rh4
1.0
7.499 0.000 0.000
-3.749 6.494 0.000
0.000 0.000 5.387
Os Rh
10 8
direct
0.000 0.334 0.250
0.000 0.666 0.750
0.333 0.667 0.000
0.333 0.667 0.500
0.334 0.000 0.250
0.334 0.334 0.750
0.666 0.000 0.750
0.666 0.666 0.250
0.667 0.333 0.000
0.667 0.333 0.500
0.000 0.000 0.000
0.000 0.000 0.500
0.000 0.336 0.750
0.000 0.664 0.250
0.336 0.000 0.750
0.336 0.336 0.250
0.664 0.000 0.250
0.664 0.664 0.750
```

=====

#B
Os5Rh4: optimized geometry, GGA-PBE.

Results
N(E_F): 8.80 states/eV/cell
spin magnetization: 0.000 μB per atom

```
Os5Rh4
1.0
-4.083 4.083 1.925
4.083 -4.083 1.925
4.083 4.083 -1.925
Os Rh
5 4
direct
0.000 0.000 0.000
0.336 0.336 0.673
0.336 0.664 0.000
0.664 0.336 0.000
0.664 0.664 0.327
0.000 0.328 0.328
0.000 0.672 0.672
0.328 0.000 0.328
0.672 0.000 0.672
```

=====

It is #A that is the least stable of them.

=====

#A
Os5Rh: optimized geometry, GGA-PBE.

Results
N(E_F): 8.16 states/eV/cell
spin magnetization: 0.000 μB per atom

```
Os5Rh
1.0
0.000 3.592 3.592
3.592 0.000 3.592
3.592 3.592 0.000
Os Rh
5 1
direct
0.000 0.000 0.000
0.375 0.375 0.375
0.375 0.375 0.874
0.375 0.874 0.375
0.874 0.375 0.375
0.750 0.750 0.750
```

=====

#B
Os5Rh: optimized geometry, GGA-PBE.

Results
N(E_F): 10.20 states/eV/cell
spin magnetization: 0.382 μB per atom

```
Os5Rh
1.0
5.037 0.000 0.000
-2.518 4.362 0.000
0.000 0.000 4.489
Os Rh
5 1
direct
0.000 0.500 0.000
0.333 0.667 0.500
0.500 0.000 0.000
0.500 0.500 0.000
0.667 0.333 0.500
0.000 0.000 0.500
```

=====

#C
Os5Rh: optimized geometry, GGA-PBE.

Results
N(E_F): 6.98 states/eV/cell
spin magnetization: 0.000 μB per atom

```
Os5Rh
1.0
4.354 0.000 0.000
0.000 2.751 0.000
0.000 0.000 14.297
Os Rh
10 2
direct
0.000 0.000 0.000
0.000 0.000 0.333
0.000 0.000 0.666
0.000 0.500 0.166
0.000 0.500 0.500
0.000 0.500 0.833
0.500 0.000 0.554
0.500 0.000 0.891
0.500 0.500 0.054
0.500 0.500 0.391
0.500 0.000 0.222
0.500 0.500 0.722
```

=====

It is #B that is the least stable of them.